The following is a DFT calculation (PBE) of a geometry-optimized SmDyMoN3 structure.

Results
- symmetry = No. 11
- size of the total moment (μB/cell) = 0.00
- final energy (eV per atom) = -8.583
- ρ (g cm⁻³) = 8.00

Cell lengths 6.082, 3.506, 8.999 Å; angles 90.00, 102.64, 90.00 degrees
Sites, in units of the cell vectors:
Sm 0.147 0.250 0.181
Sm 0.853 0.750 0.819
Dy 0.366 0.250 0.852
Dy 0.634 0.750 0.148
Mo 0.154 0.750 0.574
Mo 0.846 0.250 0.426
N 0.018 0.250 0.660
N 0.251 0.750 0.013
N 0.449 0.750 0.697
N 0.551 0.250 0.303
N 0.749 0.250 0.987
N 0.982 0.750 0.340